No. 1
DFT (PBE-GGA) results for crystalline BeSi2Ni at its relaxed geometry.

Results
formation energy from raw total energies	0.01	eV/atom
V	11.4	Å³ per atom
final energy	-20.31	eV per cell

```
4
Lattice="2.5918 0.0000 0.0000 0.0000 2.5918 0.0000 0.0000 0.0000 6.7850" Properties=species:S:1:pos:R:3 pbc="T T T"
Be 0.0000 0.0000 0.0000
Si 0.0000 0.0000 3.0300
Si 1.2959 1.2959 5.1502
Ni 1.2959 1.2959 1.4275
```


No. 2
DFT (PBE-GGA) results for crystalline BeSiNi at its relaxed geometry.

Results
offset from the most stable computed form	0.223	eV/atom
formation energy from raw total energies	-0.09	eV/atom
V	10.8	Å³ per atom
final energy	-15.21	eV per cell

```
3
Lattice="3.8160 0.0000 0.0000 -1.9080 3.3047 0.0000 0.0000 0.0000 2.5768" Properties=species:S:1:pos:R:3 pbc="T T T"
Be 0.0000 0.0000 0.0000
Si 0.0000 2.2031 1.6507
Ni 1.9080 1.1016 1.0829
```


No. 3
DFT (PBE-GGA) results for crystalline BeSi2Ni at its relaxed geometry.

Results
formation energy from raw total energies	-0.04	eV/atom
V	11.8	Å³ per atom
final energy	-20.53	eV per cell

```
4
Lattice="3.2131 0.0000 0.0000 0.0000 3.2131 0.0000 0.0000 0.0000 4.5541" Properties=species:S:1:pos:R:3 pbc="T T T"
Be 0.0000 0.0000 0.0000
Si 0.0000 0.0000 2.2715
Si 1.6066 1.6066 3.4989
Ni 1.6066 1.6066 1.1987
```


No. 4
DFT (PBE-GGA) results for crystalline BeSiNi3 at its relaxed geometry.

Results
offset from the most stable computed form	0.709	eV/atom
formation energy from raw total energies	0.53	eV/atom
V	14.1	Å³ per atom
final energy	-23.83	eV per cell

```
5
Lattice="4.1333 0.0000 0.0000 0.0000 4.1333 0.0000 0.0000 0.0000 4.1333" Properties=species:S:1:pos:R:3 pbc="T T T"
Be 0.0000 0.0000 0.0000
Si 2.0666 2.0666 2.0666
Ni 0.0000 2.0666 2.0666
Ni 2.0666 0.0000 2.0666
Ni 2.0666 2.0666 0.0000
```